(1)
An optimized crystal structure of Pa3Al7Ni2. Source: Alexandria via LeMat-Bulk, functional PBE-GGA.

Raw total energy ... -71.4 eV per cell
Energy of formation from the pure elements ... -41 kJ per mole of atoms

a b c (Å): 8.9915 8.9915 8.9915
angles (deg): 34.95 34.95 34.95
Atoms (fractional coordinates):
1 Pa 0.0000 0.0000 0.0000
2 Pa 0.1448 0.1448 0.1448
3 Pa 0.8552 0.8552 0.8552
4 Al 0.0709 0.5791 0.5791
5 Al 0.4209 0.4209 0.9291
6 Al 0.4209 0.9291 0.4209
7 Al 0.5000 0.5000 0.5000
8 Al 0.5791 0.0709 0.5791
9 Al 0.5791 0.5791 0.0709
10 Al 0.9291 0.4209 0.4209
11 Ni 0.3353 0.3353 0.3353
12 Ni 0.6647 0.6647 0.6647



(2)
An optimized crystal structure of SrHg2Ir. Source: Alexandria via LeMat-Bulk, functional PBE-GGA.

Raw total energy ... -10.7 eV per cell
Energy of formation from the pure elements ... 11 kJ per mole of atoms

a b c (Å): 5.6457 5.6457 5.6457
angles (deg): 136.15 130.21 68.49
Atoms (fractional coordinates):
1 Sr 0.0000 0.0000 0.0000
2 Hg 0.2688 0.7688 0.5000
3 Hg 0.5352 0.5352 0.0000
4 Ir 0.7412 0.2412 0.5000



(3)
An optimized crystal structure of NpAsHO6. Source: Alexandria via LeMat-Bulk, functional PBE-GGA.

Raw total energy ... -123.0 eV per cell

a b c (Å): 5.1862 5.1862 8.8872
angles (deg): 90.00 90.00 120.00
Atoms (fractional coordinates):
1 Np 0.3333 0.6667 0.2500
2 Np 0.6667 0.3333 0.7500
3 As 0.3333 0.6667 0.7500
4 As 0.6667 0.3333 0.2500
5 H 0.0000 0.0000 0.0000
6 H 0.0000 0.0000 0.5000
7 O 0.0312 0.3666 0.6325
8 O 0.0312 0.6646 0.8675
9 O 0.3354 0.3666 0.8675
10 O 0.3354 0.9688 0.6325
11 O 0.3666 0.0312 0.1325
12 O 0.3666 0.3354 0.3675
13 O 0.6334 0.6646 0.6325
14 O 0.6334 0.9688 0.8675
15 O 0.6646 0.0312 0.3675
16 O 0.6646 0.6334 0.1325
17 O 0.9688 0.3354 0.1325
18 O 0.9688 0.6334 0.3675



(4)
An optimized crystal structure of Nd6SmDy2Tm. Source: Alexandria via LeMat-Bulk, functional PBE-GGA.

Raw total energy ... -91.7 eV per cell
Energy of formation from the pure elements ... 11 kJ per mole of atoms

a b c (Å): 8.9677 8.9677 9.6610
angles (deg): 93.72 93.72 117.61
Atoms (fractional coordinates):
1 Nd 0.0078 0.5640 0.1884
2 Nd 0.1181 0.7604 0.5544
3 Nd 0.2396 0.8819 0.9456
4 Nd 0.2924 0.5107 0.3825
5 Nd 0.4360 0.9922 0.3116
6 Nd 0.4893 0.7076 0.1175
7 Nd 0.5107 0.2924 0.8825
8 Nd 0.5640 0.0078 0.6884
9 Nd 0.7076 0.4893 0.6175
10 Nd 0.7604 0.1181 0.0544
11 Nd 0.8819 0.2396 0.4456
12 Nd 0.9922 0.4360 0.8116
13 Sm 0.0266 0.9734 0.2500
14 Sm 0.9734 0.0266 0.7500
15 Dy 0.2022 0.3008 0.0465
16 Dy 0.3008 0.2022 0.5465
17 Dy 0.6992 0.7978 0.4535
18 Dy 0.7978 0.6992 0.9535
19 Tm 0.4119 0.5881 0.7500
20 Tm 0.5881 0.4119 0.2500



(5)
An optimized crystal structure of TmMgCu10. Source: Alexandria via LeMat-Bulk, functional PBE-GGA.

Raw total energy ... -48.3 eV per cell
Energy of formation from the pure elements ... -10 kJ per mole of atoms

a b c (Å): 4.0765 4.9555 8.5646
angles (deg): 90.00 90.00 90.00
Atoms (fractional coordinates):
1 Tm 0.0000 0.0000 0.0000
2 Mg 0.0000 0.5000 0.5000
3 Cu 0.0000 0.0000 0.3408
4 Cu 0.0000 0.0000 0.6592
5 Cu 0.0000 0.5000 0.1760
6 Cu 0.0000 0.5000 0.8240
7 Cu 0.5000 0.0000 0.5000
8 Cu 0.5000 0.2481 0.2495
9 Cu 0.5000 0.2481 0.7505
10 Cu 0.5000 0.5000 0.0000
11 Cu 0.5000 0.7519 0.2495
12 Cu 0.5000 0.7519 0.7505



(6)
An optimized crystal structure of Y2ErBe. Source: Alexandria via LeMat-Bulk, functional PBE-GGA.

Raw total energy ... -20.9 eV per cell
Energy of formation from the pure elements ... 7 kJ per mole of atoms

a b c (Å): 3.4717 3.4717 8.5727
angles (deg): 90.00 90.00 90.00
Atoms (fractional coordinates):
1 Y 0.0000 0.0000 0.1941
2 Y 0.0000 0.0000 0.8059
3 Er 0.5000 0.5000 0.5000
4 Be 0.5000 0.5000 0.0000



(7)
An optimized crystal structure of LaEuGdDy. Source: Alexandria via LeMat-Bulk, functional PBE-GGA.

Raw total energy ... -33.3 eV per cell
Energy of formation from the pure elements ... 14 kJ per mole of atoms

a b c (Å): 5.8474 5.8474 5.8474
angles (deg): 60.00 60.00 60.00
Atoms (fractional coordinates):
1 La 0.0000 0.0000 0.0000
2 Eu 0.7500 0.7500 0.7500
3 Gd 0.2500 0.2500 0.2500
4 Dy 0.5000 0.5000 0.5000



(8)
An optimized crystal structure of La2Pm2Pr4Er. Source: Alexandria via LeMat-Bulk, functional PBE-GGA.

Raw total energy ... -42.9 eV per cell
Energy of formation from the pure elements ... 1 kJ per mole of atoms

a b c (Å): 9.8051 9.8051 9.8852
angles (deg): 115.00 115.00 21.87
Atoms (fractional coordinates):
1 La 0.1648 0.1648 0.4987
2 La 0.8352 0.8352 0.5013
3 Pm 0.3524 0.3524 0.8321
4 Pm 0.6476 0.6476 0.1679
5 Pr 0.0182 0.0182 0.8304
6 Pr 0.3147 0.3147 0.1675
7 Pr 0.6853 0.6853 0.8325
8 Pr 0.9818 0.9818 0.1696
9 Er 0.5000 0.5000 0.5000